SbRuBr2: optimized geometry, PBE-GGA.

```
data_SbRuBr2
_chemical_formula_sum 'Sb1 Ru1 Br2'
_cell_length_a 5.1057
_cell_length_b 5.1057
_cell_length_c 7.5224
_cell_angle_alpha 70.90
_cell_angle_beta 70.90
_cell_angle_gamma 39.92
_space_group_name_H-M_alt 'P 1'
_space_group_IT_number 1
_space_group_name_Hall 'P 1'
loop_
_atom_site_label
_atom_site_type_symbol
_atom_site_fract_x
_atom_site_fract_y
_atom_site_fract_z
Sb1 Sb 0.1873 0.1873 0.3568
Ru1 Ru 0.4539 0.4539 0.3899
Br1 Br 0.8528 0.8528 0.6485
Br2 Br 0.0060 0.0060 0.1048
```

Values from the calculation:
For the density, the calculation gives 5.39 g/cm3. As for the total energy: -4.14 eV per atom. As for the space group: Cm. The total magnetization comes out at 0.0 μB/f.u. For the formation energy without anion corrections, the calculation gives 1.0 kcal/mol of atoms.

***

SbRuBr3: optimized geometry, PBE-GGA.

```
data_SbRuBr3
_chemical_formula_sum 'Sb1 Ru1 Br3'
_cell_length_a 5.0356
_cell_length_b 5.0356
_cell_length_c 5.0356
_cell_angle_alpha 90.00
_cell_angle_beta 90.00
_cell_angle_gamma 90.00
_space_group_name_H-M_alt 'P 1'
_space_group_IT_number 1
_space_group_name_Hall 'P 1'
loop_
_atom_site_label
_atom_site_type_symbol
_atom_site_fract_x
_atom_site_fract_y
_atom_site_fract_z
Ru1 Ru 0.0000 0.0000 0.0000
Sb1 Sb 0.5000 0.5000 0.5000
Br1 Br 0.5000 0.0000 0.0000
Br2 Br 0.0000 0.5000 0.0000
Br3 Br 0.0000 0.0000 0.5000
```

Values from the calculation:
For the density, the calculation gives 6.01 g/cm3. As for the total energy: -3.32 eV per atom. As for the space group: Pm-3m. The total magnetization comes out at 0.0 μB/f.u. For the formation energy without anion corrections, the calculation gives 8.4 kcal/mol of atoms.

***

SbRu2Br: optimized geometry, PBE-GGA.

```
data_SbRu2Br
_chemical_formula_sum 'Sb1 Ru2 Br1'
_cell_length_a 3.1236
_cell_length_b 5.4993
_cell_length_c 5.5329
_cell_angle_alpha 47.56
_cell_angle_beta 90.00
_cell_angle_gamma 90.00
_space_group_name_H-M_alt 'P 1'
_space_group_IT_number 1
_space_group_name_Hall 'P 1'
loop_
_atom_site_label
_atom_site_type_symbol
_atom_site_fract_x
_atom_site_fract_y
_atom_site_fract_z
Sb1 Sb 0.5000 0.5000 0.5000
Br1 Br 0.0000 0.0000 0.5000
Ru1 Ru 0.0000 0.0000 0.0000
Ru2 Ru 0.5000 0.5000 0.0000
```

Values from the calculation:
For the density, the calculation gives 9.56 g/cm3. As for the total energy: -5.53 eV per atom. As for the space group: P2/m. The total magnetization comes out at 0.0 μB/f.u. For the formation energy without anion corrections, the calculation gives 12.9 kcal/mol of atoms.

***

SbRu2Br: optimized geometry, PBE-GGA.

```
data_SbRu2Br
_chemical_formula_sum 'Sb1 Ru2 Br1'
_cell_length_a 10.1100
_cell_length_b 10.1100
_cell_length_c 10.1100
_cell_angle_alpha 17.52
_cell_angle_beta 17.52
_cell_angle_gamma 17.52
_space_group_name_H-M_alt 'P 1'
_space_group_IT_number 1
_space_group_name_Hall 'P 1'
loop_
_atom_site_label
_atom_site_type_symbol
_atom_site_fract_x
_atom_site_fract_y
_atom_site_fract_z
Br1 Br 0.7253 0.7253 0.7253
Ru1 Ru 0.2590 0.2590 0.2590
Ru2 Ru 0.9935 0.9935 0.9935
Sb1 Sb 0.5223 0.5223 0.5223
```

Values from the calculation:
For the density, the calculation gives 8.20 g/cm3. As for the total energy: -5.66 eV per atom. As for the space group: R3m. The total magnetization comes out at 0.0 μB/f.u. For the formation energy without anion corrections, the calculation gives 9.9 kcal/mol of atoms.

***

Sb2RuBr: optimized geometry, PBE-GGA.

```
data_Sb2RuBr
_chemical_formula_sum 'Sb2 Ru1 Br1'
_cell_length_a 4.9594
_cell_length_b 4.9594
_cell_length_c 4.9594
_cell_angle_alpha 60.00
_cell_angle_beta 60.00
_cell_angle_gamma 60.00
_space_group_name_H-M_alt 'P 1'
_space_group_IT_number 1
_space_group_name_Hall 'P 1'
loop_
_atom_site_label
_atom_site_type_symbol
_atom_site_fract_x
_atom_site_fract_y
_atom_site_fract_z
Sb1 Sb 0.7500 0.7500 0.7500
Sb2 Sb 0.2500 0.2500 0.2500
Ru1 Ru 0.5000 0.5000 0.5000
Br1 Br 0.0000 0.0000 0.0000
```

Values from the calculation:
For the density, the calculation gives 8.17 g/cm3. As for the total energy: -4.20 eV per atom. As for the space group: Fm-3m. The total magnetization comes out at 0.8 μB/f.u. For the formation energy without anion corrections, the calculation gives 13.8 kcal/mol of atoms.

***

SbRu2Br: optimized geometry, PBE-GGA.

```
data_SbRu2Br
_chemical_formula_sum 'Sb1 Ru2 Br1'
_cell_length_a 4.3616
_cell_length_b 4.3616
_cell_length_c 8.0687
_cell_angle_alpha 59.39
_cell_angle_beta 59.39
_cell_angle_gamma 42.39
_space_group_name_H-M_alt 'P 1'
_space_group_IT_number 1
_space_group_name_Hall 'P 1'
loop_
_atom_site_label
_atom_site_type_symbol
_atom_site_fract_x
_atom_site_fract_y
_atom_site_fract_z
Br1 Br 0.2500 0.2500 0.2500
Sb1 Sb 0.7500 0.7500 0.7500
Ru1 Ru 0.9405 0.9405 0.9239
Ru2 Ru 0.5595 0.5595 0.5761
```

Values from the calculation:
For the density, the calculation gives 7.74 g/cm3. As for the total energy: -5.73 eV per atom. As for the space group: C2/m. The total magnetization comes out at 0.0 μB/f.u. For the formation energy without anion corrections, the calculation gives 8.2 kcal/mol of atoms.

***

SbRu2Br: optimized geometry, PBE-GGA.

```
data_SbRu2Br
_chemical_formula_sum 'Sb1 Ru2 Br1'
_cell_length_a 6.3941
_cell_length_b 6.3941
_cell_length_c 6.3941
_cell_angle_alpha 152.52
_cell_angle_beta 142.18
_cell_angle_gamma 47.39
_space_group_name_H-M_alt 'P 1'
_space_group_IT_number 1
_space_group_name_Hall 'P 1'
loop_
_atom_site_label
_atom_site_type_symbol
_atom_site_fract_x
_atom_site_fract_y
_atom_site_fract_z
Br1 Br 0.7256 0.2256 0.5000
Ru1 Ru 0.0532 0.0532 0.0000
Ru2 Ru 0.2611 0.7611 0.5000
Sb1 Sb 0.4602 0.4602 0.0000
```

Values from the calculation:
For the density, the calculation gives 9.10 g/cm3. As for the total energy: -5.57 eV per atom. As for the space group: Imm2. The total magnetization comes out at 0.0 μB/f.u. For the formation energy without anion corrections, the calculation gives 11.9 kcal/mol of atoms.

***

SbRu2Br: optimized geometry, PBE-GGA.

```
data_SbRu2Br
_chemical_formula_sum 'Sb1 Ru2 Br1'
_cell_length_a 3.2067
_cell_length_b 3.2067
_cell_length_c 8.4597
_cell_angle_alpha 90.00
_cell_angle_beta 90.00
_cell_angle_gamma 120.35
_space_group_name_H-M_alt 'P 1'
_space_group_IT_number 1
_space_group_name_Hall 'P 1'
loop_
_atom_site_label
_atom_site_type_symbol
_atom_site_fract_x
_atom_site_fract_y
_atom_site_fract_z
Ru1 Ru 0.0000 0.0000 0.0116
Ru2 Ru 0.0000 0.0000 0.4884
Br1 Br 0.5000 0.5000 0.7500
Sb1 Sb 0.5000 0.5000 0.2500
```

Values from the calculation:
For the density, the calculation gives 8.93 g/cm3. As for the total energy: -5.40 eV per atom. As for the space group: Cmmm. The total magnetization comes out at 0.0 μB/f.u. For the formation energy without anion corrections, the calculation gives 15.8 kcal/mol of atoms.